# PmPaFe2O6, relaxed, DFT PBE with a Hubbard U
# Magnetic moment (μB per cell): 8.0
# Fermi-level density of states (states/eV per cell): 0.00
# Uncorrected energy (eV/atom): -8.176
data_PmPaFe2O6
_space_group_name_H-M_alt 'P 1'
_space_group_IT_number 1
_cell_length_a 5.6264
_cell_length_b 5.6740
_cell_length_c 5.9228
_cell_angle_alpha 61.48
_cell_angle_beta 89.89
_cell_angle_gamma 60.31
loop_
_space_group_symop_operation_xyz
'x,y,z'
loop_
_atom_site_label
_atom_site_type_symbol
_atom_site_fract_x
_atom_site_fract_y
_atom_site_fract_z
Pm1 Pm 0.0000 0.0000 0.0000
Pa1 Pa 0.5123 0.9780 0.5283
Fe1 Fe 0.2159 0.5665 0.6372
Fe2 Fe 0.7248 0.5531 0.1593
O1 O 0.1116 0.0807 0.3415
O2 O 0.3363 0.0826 0.8256
O3 O 0.4386 0.4616 0.3322
O4 O 0.5741 0.5054 0.8145
O5 O 0.8256 0.7510 0.3516
O6 O 0.9111 0.7394 0.8389